## CdAs3F (GGA-PBE)

Data for a relaxed structure of CdAs3F.

Cell and atoms, written as POSCAR:
```
CdAs3F
1.0
-1.393 4.191 -2.650
-4.937 -0.921 1.138
0.452 2.848 4.267
As F Cd
3 1 1
Cartesian
-2.469 -0.461 0.569 As
0.226 1.424 2.133 As
-0.696 2.095 -1.325 As
-2.939 3.059 1.378 F
0.000 0.000 0.000 Cd
```

Properties
- DFT total energy: -0.092 hartree per atom
- SG: Pm-3m, No. 221